The following is a DFT calculation (GGA-PBE) of crystalline Pm2YGe2 at its relaxed geometry.

Results
Its energy above the most stable polymorph in this dataset is 138.0 meV/atom. As for the space-group type: No. 164.

Lattice parameters (Å, degrees): 5.0468 5.0468 6.2877 90.00 90.00 120.00
Fractional coordinates of all 5 atoms:
Pm1 0.3333 0.6667 0.3097
Pm2 0.6667 0.3333 0.6903
Y1 0.0000 0.0000 0.0000
Ge1 0.3333 0.6667 0.7971
Ge2 0.6667 0.3333 0.2029


The following is a DFT calculation (GGA-PBE) of crystalline PmYGe2 at its relaxed geometry.

Results
As for the space-group type: No. 123.

Lattice parameters (Å, degrees): 3.3983 3.3983 8.1477 90.00 90.00 90.00
Fractional coordinates of all 4 atoms:
Pm1 0.0000 0.0000 0.0000
Y1 0.0000 0.0000 0.5000
Ge1 0.5000 0.5000 0.2560
Ge2 0.5000 0.5000 0.7440


The following is a DFT calculation (GGA-PBE) of crystalline Pm4YGe4 at its relaxed geometry.

Results
As for the space-group type: No. 86.

Lattice parameters (Å, degrees): 9.1134 9.1134 6.0519 90.00 90.00 90.00
Fractional coordinates of all 18 atoms:
Pm1 0.0578 0.6672 0.1231
Pm2 0.1672 0.9422 0.6231
Pm3 0.3328 0.5578 0.6231
Pm4 0.4422 0.8328 0.1231
Pm5 0.5578 0.1672 0.8769
Pm6 0.6672 0.4422 0.3769
Pm7 0.8328 0.0578 0.3769
Pm8 0.9422 0.3328 0.8769
Y1 0.2500 0.2500 0.2500
Y2 0.7500 0.7500 0.7500
Ge1 0.0166 0.6264 0.6149
Ge2 0.1264 0.9834 0.1149
Ge3 0.3736 0.5166 0.1149
Ge4 0.4834 0.8736 0.6149
Ge5 0.5166 0.1264 0.3851
Ge6 0.6264 0.4834 0.8851
Ge7 0.8736 0.0166 0.8851
Ge8 0.9834 0.3736 0.3851


The following is a DFT calculation (GGA-PBE) of crystalline Pm2YGe at its relaxed geometry.

Results
Its energy above the most stable polymorph in this dataset is 111.1 meV/atom. As for the space-group type: No. 123.

Lattice parameters (Å, degrees): 4.7097 4.7097 4.8448 90.00 90.00 90.00
Fractional coordinates of all 4 atoms:
Pm1 0.0000 0.5000 0.0000
Pm2 0.5000 0.0000 0.0000
Y1 0.0000 0.0000 0.5000
Ge1 0.5000 0.5000 0.5000


The following is a DFT calculation (GGA-PBE) of crystalline Pm3Y2Ge4 at its relaxed geometry.

Results
As for the space-group type: No. 14.

Lattice parameters (Å, degrees): 8.0437 7.9339 7.7309 90.00 111.64 90.00
Fractional coordinates of all 18 atoms:
Pm1 0.0000 0.0000 0.0000
Pm2 0.0000 0.5000 0.5000
Pm3 0.3020 0.1816 0.4332
Pm4 0.3020 0.3184 0.9332
Pm5 0.6980 0.6816 0.0668
Pm6 0.6980 0.8184 0.5668
Y1 0.2617 0.6649 0.2689
Y2 0.2617 0.8351 0.7689
Y3 0.7383 0.1649 0.2311
Y4 0.7383 0.3351 0.7311
Ge1 0.0080 0.1275 0.6253
Ge2 0.0080 0.3725 0.1253
Ge3 0.4160 0.5383 0.6716
Ge4 0.4160 0.9617 0.1716
Ge5 0.5840 0.0383 0.8284
Ge6 0.5840 0.4617 0.3284
Ge7 0.9920 0.6275 0.8747
Ge8 0.9920 0.8725 0.3747


The following is a DFT calculation (GGA-PBE) of crystalline Pm2YGe at its relaxed geometry.

Results
Its energy above the most stable polymorph in this dataset is 424.0 meV/atom. As for the space-group type: No. 166.

Lattice parameters (Å, degrees): 11.2049 11.2049 11.2049 18.94 18.94 18.94
Fractional coordinates of all 4 atoms:
Pm1 0.1050 0.1050 0.1050
Pm2 0.8950 0.8950 0.8950
Y1 0.0000 0.0000 0.0000
Ge1 0.5000 0.5000 0.5000


The following is a DFT calculation (GGA-PBE) of crystalline PmY4Ge4 at its relaxed geometry.

Results
As for the space-group type: No. 86.

Lattice parameters (Å, degrees): 9.2749 9.2749 5.8165 90.00 90.00 90.00
Fractional coordinates of all 18 atoms:
Pm1 0.2500 0.2500 0.2500
Pm2 0.7500 0.7500 0.7500
Y1 0.0858 0.6507 0.1382
Y2 0.1507 0.9142 0.6382
Y3 0.3493 0.5858 0.6382
Y4 0.4142 0.8493 0.1382
Y5 0.5858 0.1507 0.8618
Y6 0.6507 0.4142 0.3618
Y7 0.8493 0.0858 0.3618
Y8 0.9142 0.3493 0.8618
Ge1 0.0338 0.6124 0.6406
Ge2 0.1124 0.9662 0.1406
Ge3 0.3876 0.5338 0.1406
Ge4 0.4662 0.8876 0.6406
Ge5 0.5338 0.1124 0.3594
Ge6 0.6124 0.4662 0.8594
Ge7 0.8876 0.0338 0.8594
Ge8 0.9662 0.3876 0.3594


The following is a DFT calculation (GGA-PBE) of crystalline Pm3YGe2 at its relaxed geometry.

Results
As for the space-group type: No. 12.

Lattice parameters (Å, degrees): 9.0431 9.0431 9.4938 115.14 115.14 28.18
Fractional coordinates of all 12 atoms:
Pm1 0.0458 0.0458 0.1951
Pm2 0.3106 0.3106 0.6140
Pm3 0.3451 0.3451 0.0234
Pm4 0.6549 0.6549 0.9766
Pm5 0.6894 0.6894 0.3860
Pm6 0.9542 0.9542 0.8049
Y1 0.1142 0.1142 0.6255
Y2 0.8858 0.8858 0.3745
Ge1 0.2435 0.2435 0.2229
Ge2 0.4961 0.4961 0.6354
Ge3 0.5039 0.5039 0.3646
Ge4 0.7565 0.7565 0.7771


Across the entries above, calculated formation energy takes the values -0.66 -0.64 -0.60 -0.33 -0.86 -0.02 -0.61 -0.57 eV per atom, respectively.
Across the entries above, E_tot takes the values -5.70 -5.76 -5.48 -5.48 -5.93 -5.17 -6.06 -5.57 eV per atom, respectively.